[1]
The following is a DFT calculation (PBE) of crystalline Sc8CoTc2 at its relaxed geometry.

Cell: 8.2921 8.2921 6.3738 Å, 108.73 108.73 32.15°
Fractional positions:
Sc  0.0227  0.0227  0.2883
Sc  0.2002  0.2002  0.7954
Sc  0.3400  0.3400  0.5493
Sc  0.4017  0.4017  0.0620
Sc  0.5983  0.5983  0.9380
Sc  0.6600  0.6600  0.4507
Sc  0.7998  0.7998  0.2046
Sc  0.9773  0.9773  0.7117
Co  0.5000  0.5000  0.5000
Tc  0.1773  0.1773  0.1883
Tc  0.8227  0.8227  0.8117

ΔE_f = -187.6 meV per atom

***

[2]
The following is a DFT calculation (PBE) of crystalline Sc2CoTc at its relaxed geometry.

Cell: 8.1307 8.1307 8.1307 Å, 22.27 22.27 22.27°
Fractional positions:
Sc  0.2486  0.2486  0.2486
Sc  0.7514  0.7514  0.7514
Co  0.5000  0.5000  0.5000
Tc  0.0000  0.0000  0.0000

ΔE_f = 81.2 meV per atom

***

[3]
The following is a DFT calculation (PBE) of crystalline Sc2CoTc2 at its relaxed geometry.

Cell: 6.7413 6.7413 6.7413 Å, 146.22 146.22 48.53°
Fractional positions:
Sc  0.2500  0.7500  0.5000
Sc  0.7500  0.2500  0.5000
Co  0.0000  0.0000  0.0000
Tc  0.4069  0.4069  0.0000
Tc  0.5931  0.5931  0.0000

ΔE_f = 955.5 meV per atom
polymorph energy (0 for the lowest one) = 21.63 kcal/mol of atoms

***

Uncorrected energy
In order: -7.32 -7.45 -7.14
Unit: eV/atom